The following is a PBE calculation of LiAg4Au2 after structural relaxation, from Alexandria.

Results
As for the space-group type: P2_1/m (11). The energy comes out at -2.928 eV/atom. The calculation puts the formation energy at -0.6 eV/f.u. Its energy above the most stable polymorph in this dataset is 44 meV/atom. Its magnetization is 0.000 μB/atom.

a b c (Å): 6.9706 5.6123 7.2386
angles (deg): 90.00 117.33 90.00
Closest atoms and distances in Å follow each position.
Element x y z (fractional)
1 Li 0.0618 0.2500 0.3276  4 Au 2.62-2.83, 2 Ag 2.65-2.71
2 Li 0.9382 0.7500 0.6724  4 Au 2.62-2.83, 2 Ag 2.65-2.71
3 Ag 0.2300 0.7500 0.0809  1 Li 2.71, 4 Au 2.81-2.91, 3 Ag 2.84-2.98
4 Ag 0.3476 0.5011 0.7654  7 Ag 2.79-3.09, 4 Au 2.90-2.97, 1 Li 2.96
5 Ag 0.3476 0.9989 0.7654  7 Ag 2.79-3.09, 4 Au 2.90-2.97, 1 Li 2.96
6 Ag 0.4886 0.2500 0.4846  1 Li 2.65, 5 Ag 2.81-2.90, 2 Au 2.82-2.83
7 Ag 0.5114 0.7500 0.5154  1 Li 2.65, 5 Ag 2.81-2.90, 2 Au 2.82-2.83
8 Ag 0.6524 0.0011 0.2346  7 Ag 2.79-3.09, 4 Au 2.90-2.97, 1 Li 2.96
9 Ag 0.6524 0.4989 0.2346  7 Ag 2.79-3.09, 4 Au 2.90-2.97, 1 Li 2.96
10 Ag 0.7700 0.2500 0.9191  1 Li 2.71, 4 Au 2.81-2.91, 3 Ag 2.84-2.98
11 Au 0.0601 0.7500 0.3802  3 Li 2.62-2.83, 1 Au 2.83, 4 Ag 2.83-2.91
12 Au 0.2286 0.2500 0.0498  1 Li 2.75, 8 Ag 2.81-2.97, 1 Au 2.83
13 Au 0.7714 0.7500 0.9502  1 Li 2.75, 8 Ag 2.81-2.97, 1 Au 2.83
14 Au 0.9399 0.2500 0.6198  3 Li 2.62-2.83, 1 Au 2.83, 4 Ag 2.83-2.91